Here is a geometry-optimized V2TeO6 structure from Alexandria via LeMat-Bulk. Energies are from PBE with a Hubbard U.

Cell lengths 8.920, 8.920, 4.444 Å; angles 90.00, 90.00, 120.00 degrees
Fractional coordinates of all 27 atoms:
V (0.000, 0.342, 0.000)
V (0.000, 0.658, 0.000)
V (0.342, 0.000, 0.000)
V (0.342, 0.342, 0.000)
V (0.658, 0.000, 0.000)
V (0.658, 0.658, 0.000)
Te (0.000, 0.000, 0.000)
Te (0.333, 0.667, 0.495)
Te (0.667, 0.333, 0.505)
O (0.111, 0.222, 0.782)
O (0.111, 0.889, 0.782)
O (0.116, 0.558, 0.739)
O (0.222, 0.111, 0.218)
O (0.226, 0.451, 0.254)
O (0.226, 0.774, 0.254)
O (0.442, 0.558, 0.739)
O (0.442, 0.884, 0.739)
O (0.451, 0.226, 0.746)
O (0.549, 0.774, 0.254)
O (0.558, 0.116, 0.261)
O (0.558, 0.442, 0.261)
O (0.774, 0.226, 0.746)
O (0.774, 0.549, 0.746)
O (0.778, 0.889, 0.782)
O (0.884, 0.442, 0.261)
O (0.889, 0.111, 0.218)
O (0.889, 0.778, 0.218)

The calculation puts the total energy at -6.841 eV/atom. As for the offset from the most stable computed form: 50 meV per atom. As for the crystal system: trigonal.